# Nd2Sb3Pd5, relaxed, DFT GGA-PBE
# magnetization: 0.0 μB per formula unit
# raw total energy: -5.581 eV/atom
# uncorrected formation energy: -0.79 eV per atom
# Fermi-level density of states: 21.38 states/eV/cell
data_Nd2Sb3Pd5
_cell_length_a 4.592
_cell_length_b 25.704
_cell_length_c 7.172
_cell_angle_alpha 90.00
_cell_angle_beta 90.00
_cell_angle_gamma 90.00
_symmetry_space_group_name_H-M 'C m c 21'
_symmetry_Int_Tables_number 36
loop_
_symmetry_equiv_pos_as_xyz
'x,y,z'
'-x,-y,z+1/2'
'-x,y,z'
'x,-y,z+1/2'
'x+1/2,y+1/2,z'
'-x+1/2,-y+1/2,z+1/2'
'-x+1/2,y+1/2,z'
'x+1/2,-y+1/2,z+1/2'
loop_
_atom_site_label
_atom_site_fract_x
_atom_site_fract_y
_atom_site_fract_z
Nd1 0.000 0.017 0.000
Nd2 0.000 0.324 0.988
Sb1 0.000 0.108 0.292
Sb2 0.000 0.279 0.448
Sb3 0.000 0.447 0.206
Pd1 0.000 0.108 0.688
Pd2 0.000 0.207 0.159
Pd3 0.000 0.220 0.749
Pd4 0.000 0.381 0.505
Pd5 0.000 0.449 0.814

# KAuCl2, relaxed, DFT GGA-PBE
# magnetization: 0.0 μB per formula unit
# relative energy among the computed polymorphs: 3.7 meV per atom
# raw total energy: -3.123 eV/atom
# uncorrected formation energy: -1.11 eV per atom
# Fermi-level density of states: 0.00 states/eV/cell
data_KAuCl2
_cell_length_a 8.851
_cell_length_b 4.971
_cell_length_c 7.308
_cell_angle_alpha 90.00
_cell_angle_beta 104.40
_cell_angle_gamma 90.00
_symmetry_space_group_name_H-M 'C 1 2/m 1'
_symmetry_Int_Tables_number 12
loop_
_symmetry_equiv_pos_as_xyz
'x,y,z'
'-x,-y,-z'
'-x,y,-z'
'x,-y,z'
'x+1/2,y+1/2,z'
'-x+1/2,-y+1/2,-z'
'-x+1/2,y+1/2,-z'
'x+1/2,-y+1/2,z'
loop_
_atom_site_label
_atom_site_fract_x
_atom_site_fract_y
_atom_site_fract_z
K1 0.000 0.000 0.000
Au1 0.000 0.500 0.500
Cl1 0.131 0.500 0.813

# ReOs2Rh, relaxed, DFT GGA-PBE
# magnetization: 0.0 μB per formula unit
# formation energy from the elements: 0.0702 eV per atom
# relative energy among the computed polymorphs: 32.4 meV per atom
# raw total energy: -10.495 eV/atom
# Fermi-level density of states: 8.43 states/eV/cell
data_ReOs2Rh
_cell_length_a 5.478
_cell_length_b 7.710
_cell_length_c 2.736
_cell_angle_alpha 90.00
_cell_angle_beta 90.00
_cell_angle_gamma 90.00
_symmetry_space_group_name_H-M 'C m m m'
_symmetry_Int_Tables_number 65
_symmetry_space_group_name_Hall '-C 2 2'
loop_
_atom_site_label
_atom_site_fract_x
_atom_site_fract_y
_atom_site_fract_z
Re1 0.000 0.000 0.000
Os1 0.250 0.250 0.500
Rh1 0.000 0.500 0.000